Below is crystalline NdHo2Mg at its relaxed geometry, with properties calculated at the GGA-PBE level.

Summary:
Energy relative to the elements ... 20 kJ/mol of formula units
E ... -15.314 eV per cell

Structure (POSCAR):
```
NdHo2Mg
1.0
3.062 -1.763 0.000
3.062 1.763 0.000
-2.052 0.000 11.340
Nd Ho Mg
1 2 1
Direct
0.000 0.000 0.000 Nd
0.420 0.420 0.259 Ho
0.581 0.581 0.743 Ho
0.168 0.168 0.501 Mg
```

***

Below is crystalline AcPm6Er2 at its relaxed geometry, with properties calculated at the GGA-PBE level.

Summary:
Energy relative to the elements ... 54 kJ/mol of formula units
E ... -41.182 eV per cell

Structure (POSCAR):
```
AcPm6Er2
1.0
2.892 -4.990 0.000
2.892 4.990 0.000
0.000 0.000 10.698
Ac Pm Er
1 6 2
Direct
0.000 0.000 0.000 Ac
0.000 0.000 0.341 Pm
0.000 0.000 0.659 Pm
0.333 0.667 0.176 Pm
0.333 0.667 0.824 Pm
0.667 0.333 0.176 Pm
0.667 0.333 0.824 Pm
0.333 0.667 0.500 Er
0.667 0.333 0.500 Er
```

***

Below is crystalline Tb6Tl5Zn at its relaxed geometry, with properties calculated at the GGA-PBE level.

Summary:
Energy relative to the elements ... -404 kJ/mol of formula units
E ... -45.074 eV per cell

Structure (POSCAR):
```
Tb6Tl5Zn
1.0
2.679 -8.028 0.000
2.679 8.028 0.000
0.000 0.000 7.499
Tb Tl Zn
6 5 1
Direct
0.000 0.000 0.242 Tb
0.000 0.000 0.758 Tb
0.337 0.663 0.245 Tb
0.337 0.663 0.755 Tb
0.663 0.337 0.245 Tb
0.663 0.337 0.755 Tb
0.165 0.835 0.000 Tl
0.168 0.832 0.500 Tl
0.500 0.500 0.500 Tl
0.832 0.168 0.500 Tl
0.835 0.165 0.000 Tl
0.500 0.500 0.000 Zn
```

***

Below is crystalline Li2PrPuSe4 at its relaxed geometry, with properties calculated at the GGA-PBE level.

Summary:
E ... -48.967 eV per cell

Structure (POSCAR):
```
Li2PrPuSe4
1.0
6.926 0.000 0.000
0.000 4.193 0.000
-2.545 0.000 6.795
Li Pr Pu Se
2 1 1 4
Direct
0.000 0.000 0.000 Li
0.000 0.500 0.500 Li
0.500 0.000 0.500 Pr
0.500 0.500 0.000 Pu
0.239 0.500 0.241 Se
0.245 0.000 0.755 Se
0.755 0.000 0.245 Se
0.761 0.500 0.759 Se
```

***

Below is crystalline Tl2BiPdCl6 at its relaxed geometry, with properties calculated at the GGA-PBE level.

Summary:
E ... -65.649 eV per cell

Structure (POSCAR):
```
Tl2BiPdCl6
1.0
7.568 0.000 0.000
0.000 10.593 0.000
0.000 0.000 7.416
Tl Bi Pd Cl
4 2 2 12
Direct
0.250 0.040 0.228 Tl
0.250 0.460 0.228 Tl
0.750 0.540 0.772 Tl
0.750 0.960 0.772 Tl
0.250 0.750 0.745 Bi
0.750 0.250 0.255 Bi
0.250 0.250 0.750 Pd
0.750 0.750 0.250 Pd
0.014 0.250 0.999 Cl
0.016 0.250 0.500 Cl
0.250 0.007 0.759 Cl
0.250 0.493 0.759 Cl
0.484 0.250 0.500 Cl
0.486 0.250 0.999 Cl
0.514 0.750 0.001 Cl
0.516 0.750 0.500 Cl
0.750 0.507 0.241 Cl
0.750 0.993 0.241 Cl
0.984 0.750 0.500 Cl
0.986 0.750 0.001 Cl
```

***

Below is crystalline Ti2Ni2Ge at its relaxed geometry, with properties calculated at the GGA-PBE level.

Summary:
Energy relative to the elements ... -230 kJ/mol of formula units
E ... -68.711 eV per cell

Structure (POSCAR):
```
Ti2Ni2Ge
1.0
6.647 0.000 0.000
0.000 6.647 0.000
0.000 0.000 3.155
Ti Ni Ge
4 4 2
Direct
0.171 0.329 0.000 Ti
0.329 0.829 0.000 Ti
0.671 0.171 0.000 Ti
0.829 0.671 0.000 Ti
0.128 0.628 0.500 Ni
0.372 0.128 0.500 Ni
0.628 0.872 0.500 Ni
0.872 0.372 0.500 Ni
0.000 0.000 0.500 Ge
0.500 0.500 0.500 Ge
```

***

Below is crystalline RbBaSr2Ni at its relaxed geometry, with properties calculated at the GGA-PBE level.

Summary:
Energy relative to the elements ... 32 kJ/mol of formula units
E ... -11.709 eV per cell

Structure (POSCAR):
```
RbBaSr2Ni
1.0
6.186 0.000 0.000
0.000 6.186 0.000
0.000 0.000 6.278
Rb Ba Sr Ni
1 1 2 1
Direct
0.000 0.000 0.000 Rb
0.500 0.500 0.000 Ba
0.000 0.500 0.500 Sr
0.500 0.000 0.500 Sr
0.500 0.500 0.500 Ni
```

***

Below is crystalline Ag2Mo at its relaxed geometry, with properties calculated at the GGA-PBE level.

Summary:
Energy relative to the elements ... 205 kJ/mol of formula units
E ... -57.640 eV per cell

Structure (POSCAR):
```
Ag2Mo
1.0
5.728 0.000 0.000
-2.864 4.960 0.000
0.000 0.000 7.810
Ag Mo
8 4
Direct
0.000 0.000 0.000 Ag
0.000 0.000 0.500 Ag
0.178 0.355 0.250 Ag
0.178 0.822 0.250 Ag
0.355 0.178 0.750 Ag
0.645 0.822 0.250 Ag
0.822 0.178 0.750 Ag
0.822 0.645 0.750 Ag
0.333 0.667 0.608 Mo
0.333 0.667 0.892 Mo
0.667 0.333 0.108 Mo
0.667 0.333 0.392 Mo
```

***

Below is crystalline FePt6W at its relaxed geometry, with properties calculated at the GGA-PBE level.

Summary:
Energy relative to the elements ... 250 kJ/mol of formula units
E ... -55.072 eV per cell

Structure (POSCAR):
```
FePt6W
1.0
3.637 2.100 3.100
-3.637 2.100 3.100
0.000 -4.200 3.100
Fe Pt W
1 6 1
Direct
0.000 0.000 0.000 Fe
0.046 0.672 0.672 Pt
0.328 0.328 0.954 Pt
0.328 0.954 0.328 Pt
0.672 0.046 0.672 Pt
0.672 0.672 0.046 Pt
0.954 0.328 0.328 Pt
0.500 0.500 0.500 W
```

***

Below is crystalline NdNiGeH at its relaxed geometry, with properties calculated at the GGA-PBE level.

Summary:
E ... -21.125 eV per cell

Structure (POSCAR):
```
NdNiGeH
1.0
4.128 0.000 0.000
-2.064 3.575 0.000
0.000 0.000 4.263
Nd Ni Ge H
1 1 1 1
Direct
0.000 0.000 0.000 Nd
0.667 0.333 0.534 Ni
0.333 0.667 0.483 Ge
0.667 0.333 0.908 H
```

***

Below is crystalline PrSiNi2 at its relaxed geometry, with properties calculated at the GGA-PBE level.

Summary:
E ... -23.259 eV per cell

Structure (POSCAR):
```
PrSiNi2
1.0
4.179 0.000 0.000
0.000 3.777 0.000
-0.007 0.000 4.890
Pr Si Ni
1 1 2
Direct
0.000 0.000 0.000 Pr
0.500 0.000 0.500 Si
0.498 0.500 0.752 Ni
0.502 0.500 0.248 Ni
```

***

Below is crystalline CdTc2BiO8 at its relaxed geometry, with properties calculated at the GGA-PBE level.

Summary:
E ... -78.892 eV per cell

Structure (POSCAR):
```
CdTc2BiO8
1.0
2.908 1.679 8.374
-2.908 1.679 8.374
0.000 -3.358 8.374
Cd Tc Bi O
1 2 1 8
Direct
0.000 0.000 0.000 Cd
0.243 0.243 0.243 Tc
0.757 0.757 0.757 Tc
0.500 0.500 0.500 Bi
0.083 0.752 0.509 O
0.248 0.491 0.917 O
0.312 0.312 0.312 O
0.491 0.917 0.248 O
0.509 0.083 0.752 O
0.688 0.688 0.688 O
0.752 0.509 0.083 O
0.917 0.248 0.491 O
```